# 1
! BeZnHg3 PBE optimized geometry; values from VASP
&SYSTEM
  ibrav = 0, nat = 5, ntyp = 3
/
ATOMIC_SPECIES
Be 9.01 Be.upf
Zn 65.41 Zn.upf
Hg 200.59 Hg.upf
CELL_PARAMETERS angstrom
-5.062 -0.303 -1.079
-0.660 -3.229 4.003
-0.906 4.045 3.115
ATOMIC_POSITIONS crystal
Be 0.500 0.500 0.500
Zn 0.000 0.000 0.000
Hg 0.000 0.500 0.000
Hg 0.000 0.000 0.500
Hg 0.500 0.000 0.000
! - mass density (g/cm3) = 8.05
! - density of states at the Fermi level (states/eV per cell) = 2.17
! - total energy (eV per cell) = -2.38

---

# 2
! Be2ZnHg PBE optimized geometry; values from VASP
&SYSTEM
  ibrav = 0, nat = 4, ntyp = 3
/
ATOMIC_SPECIES
Be 9.01 Be.upf
Zn 65.41 Zn.upf
Hg 200.59 Hg.upf
CELL_PARAMETERS angstrom
4.205 -0.082 0.030
3.089 2.855 0.030
0.619 0.235 4.774
ATOMIC_POSITIONS crystal
Be 0.979 0.979 0.089
Be 0.521 0.521 0.411
Zn 0.250 0.250 0.250
Hg 0.750 0.750 0.750
! - mass density (g/cm3) = 8.07
! - density of states at the Fermi level (states/eV per cell) = 0.99
! - total energy (eV per cell) = -7.41

---

# 3
! Be2ZnHg PBE optimized geometry; values from VASP
&SYSTEM
  ibrav = 0, nat = 4, ntyp = 3
/
ATOMIC_SPECIES
Be 9.01 Be.upf
Zn 65.41 Zn.upf
Hg 200.59 Hg.upf
CELL_PARAMETERS angstrom
-0.237 -3.415 -2.485
-3.775 -1.521 -1.150
-1.304 0.385 -4.005
ATOMIC_POSITIONS crystal
Be 0.250 0.250 0.250
Be 0.750 0.750 0.750
Zn 0.000 0.000 0.000
Hg 0.500 0.500 0.500
! - mass density (g/cm3) = 8.82
! - density of states at the Fermi level (states/eV per cell) = 0.78
! - total energy (eV per cell) = -7.27

---

# 4
! BeZnHg4 PBE optimized geometry; values from VASP
&SYSTEM
  ibrav = 0, nat = 6, ntyp = 3
/
ATOMIC_SPECIES
Be 9.01 Be.upf
Zn 65.41 Zn.upf
Hg 200.59 Hg.upf
CELL_PARAMETERS angstrom
0.000 4.302 4.302
4.302 0.000 4.302
4.302 4.302 0.000
ATOMIC_POSITIONS crystal
Be 0.000 0.000 0.000
Zn 0.750 0.750 0.750
Hg 0.875 0.375 0.375
Hg 0.375 0.375 0.875
Hg 0.375 0.875 0.375
Hg 0.375 0.375 0.375
! - mass density (g/cm3) = 9.14
! - density of states at the Fermi level (states/eV per cell) = 1.84
! - total energy (eV per cell) = -2.34

---

# 5
! Be2ZnHg PBE optimized geometry; values from VASP
&SYSTEM
  ibrav = 0, nat = 4, ntyp = 3
/
ATOMIC_SPECIES
Be 9.01 Be.upf
Zn 65.41 Zn.upf
Hg 200.59 Hg.upf
CELL_PARAMETERS angstrom
-1.241 -1.872 2.151
2.569 1.745 0.163
-4.445 6.274 2.897
ATOMIC_POSITIONS crystal
Be 0.000 0.000 0.986
Be 0.000 0.000 0.514
Zn 0.500 0.500 0.750
Hg 0.500 0.500 0.250
! - mass density (g/cm3) = 7.65
! - density of states at the Fermi level (states/eV per cell) = 0.69
! - total energy (eV per cell) = -7.05

---

# 6
! BeZnHg PBE optimized geometry; values from VASP
&SYSTEM
  ibrav = 0, nat = 3, ntyp = 3
/
ATOMIC_SPECIES
Be 9.01 Be.upf
Zn 65.41 Zn.upf
Hg 200.59 Hg.upf
CELL_PARAMETERS angstrom
5.947 0.006 0.000
4.508 3.878 0.000
-5.227 -1.942 2.065
ATOMIC_POSITIONS crystal
Be 0.017 0.017 0.000
Zn 0.635 0.635 0.000
Hg 0.348 0.348 0.000
! - mass density (g/cm3) = 9.60
! - density of states at the Fermi level (states/eV per cell) = 0.96
! - total energy (eV per cell) = -4.25

---

# 7
! BeZnHg2 PBE optimized geometry; values from VASP
&SYSTEM
  ibrav = 0, nat = 4, ntyp = 3
/
ATOMIC_SPECIES
Be 9.01 Be.upf
Zn 65.41 Zn.upf
Hg 200.59 Hg.upf
CELL_PARAMETERS angstrom
5.543 0.042 -0.105
-1.445 5.351 -0.105
1.290 1.697 2.552
ATOMIC_POSITIONS crystal
Be 0.000 0.500 0.500
Zn 0.500 0.000 0.500
Hg 0.000 0.000 0.000
Hg 0.500 0.500 0.000
! - mass density (g/cm3) = 10.15
! - density of states at the Fermi level (states/eV per cell) = 1.03
! - total energy (eV per cell) = -3.99

---

# 8
! BeZnHg PBE optimized geometry; values from VASP
&SYSTEM
  ibrav = 0, nat = 3, ntyp = 3
/
ATOMIC_SPECIES
Be 9.01 Be.upf
Zn 65.41 Zn.upf
Hg 200.59 Hg.upf
CELL_PARAMETERS angstrom
4.114 0.000 0.000
2.057 3.563 0.000
2.057 1.188 3.359
ATOMIC_POSITIONS crystal
Be 0.750 0.750 0.750
Zn 0.500 0.500 0.500
Hg 0.000 0.000 0.000
! - mass density (g/cm3) = 9.28
! - density of states at the Fermi level (states/eV per cell) = 1.58
! - total energy (eV per cell) = -4.48